Computed, not measured: a relaxed structure of KCaSb2Cl at the PBE level of DFT.

The volume is 413 Å³ per cell. As for the uncorrected formation energy: -0.35 eV/f.u.

It has space group P4/mmm (No. 123), with a = 5.682 Å, b = 5.682 Å, c = 12.778 Å, α = 90.00°, β = 90.00° and γ = 90.00°. The inequivalent atoms are K at (0.000, 0.000, 0.000), Ca at (0.000, 0.000, 0.500), Sb at (0.000, 0.500, 0.500) and Cl at (0.500, 0.500, 0.000).